VASP calculation (PBE+U) on a relaxed structure of AlVCdF6.

The structure in extended XYZ format:
```
18
Lattice="5.3740 0.0000 0.0000 -2.6870 4.6541 0.0000 0.0000 0.0000 10.9593" Properties=species:S:1:pos:R:3 pbc="T T T"
Al 0.0000 3.1027 2.7398
Al 2.6870 1.5513 8.2195
V 0.0000 3.1027 8.2195
V 2.6870 1.5513 2.7398
Cd 0.0000 0.0000 0.0000
Cd 0.0000 0.0000 5.4797
F -0.8395 1.8261 1.7069
F -1.5253 3.0140 3.7728
F 0.8395 1.8261 3.7728
F -0.6859 4.4680 1.7069
F 2.0012 0.1860 7.1866
F 1.1617 1.6400 9.2524
F 1.5253 3.0140 1.7069
F 0.6859 4.4680 3.7728
F 3.3729 0.1860 9.2524
F 1.8475 2.8280 7.1866
F 4.2124 1.6400 7.1866
F 3.5265 2.8280 9.2524
```

Properties
Space-group type = P-31c (163)
Final energy = -5.28 eV/atom
DOS at the Fermi energy = 0.302 states/eV per atom